Compound: VTcIO2
Source: Alexandria
Functional: PBE+U
Structure: relaxed

The space group is P4/mmm (No. 123) and the conventional cell measures 3.868, 3.868 and 6.280 Å, with angles of 90.00, 90.00 and 90.00 degrees. The inequivalent atoms are V at (0.000, 0.000, 0.000), Tc at (0.500, 0.500, 0.500), I at (0.500, 0.500, 0.000) and O at (0.000, 0.500, 0.500).

The total magnetization comes out at 3.49 μB/cell. The calculation puts the energy above the most stable polymorph in this dataset at 0.000 eV per formula unit.